A relaxed TbI2F crystal. Source: Alexandria via LeMat-Bulk, functional PBE.

a b c (Å): 16.7276 4.4027 8.7568
angles (deg): 90.00 105.14 90.00
Closest atoms and distances in Å follow each position.
Fractional positions:
Tb1 0.0000 0.0006 0.2500  2 F 2.20
Tb2 0.0000 0.9994 0.7500  2 F 2.20
Tb3 0.5000 0.4994 0.7500  2 F 2.20
Tb4 0.5000 0.5006 0.2500  2 F 2.20
I1 0.1331 0.0000 0.0664  2 Tb 3.07
I2 0.1331 0.0000 0.5664  2 Tb 3.07
I3 0.3669 0.5000 0.4336  2 Tb 3.07
I4 0.3669 0.5000 0.9336  2 Tb 3.07
I5 0.6331 0.5000 0.0664  2 Tb 3.07
I6 0.6331 0.5000 0.5664  2 Tb 3.07
I7 0.8669 0.0000 0.4336  2 Tb 3.07
I8 0.8669 0.0000 0.9336  2 Tb 3.07
F1 0.0000 0.4994 0.7500  2 Tb 2.20
F2 0.0000 0.5006 0.2500  2 Tb 2.20
F3 0.5000 0.0006 0.2500  2 Tb 2.20
F4 0.5000 0.9994 0.7500  2 Tb 2.20

Symmetry = No. 15
Mass density = 4.6 g cm⁻³
Uncorrected formation energy = -2308 meV/atom
Density of states at the Fermi level = 0.0 states/eV/f.u.
Calculated volume = 622.5 Å³ per cell